KTa2Hg PBE relaxed; energy of formation from the pure elements = 0.9171 eV per atom; size of the total moment = 0.00 μB/cell; space-group type = Cmmm, No. 65
1.0
2.9883 -0.2020 0.0000
-1.3825 2.6570 0.0000
0.0000 0.0000 11.8398
Hg K Ta
1 1 2
direct
0.5000 0.5000 0.2500 Hg
0.5000 0.5000 0.7500 K
0.0000 0.0000 0.0296 Ta
0.0000 0.0000 0.4704 Ta

=====

Br2Cl PBE relaxed; ΔE to the lowest computed polymorph = 97 meV per atom; size of the total moment = 0.00 μB/cell; space-group type = Immm, No. 71
1.0
-4.1400 -4.1706 0.4548
4.4553 -3.0919 -2.3087
-2.1589 2.5402 4.8607
Br Cl
2 1
direct
0.3335 0.3335 0.0000 Br
0.6665 0.6665 0.0000 Br
0.0000 0.0000 0.0000 Cl

=====

PrThTcPd PBE relaxed; energy of formation from the pure elements = -0.2777 eV per atom; size of the total moment = 0.00 μB/cell; space-group type = F-43m, No. 216
1.0
-2.0234 4.4690 1.3340
-3.7362 2.0315 -2.7855
-4.7311 0.1973 1.8503
Pr Pd Th Tc
1 1 1 1
direct
0.0000 0.0000 0.0000 Pr
0.2500 0.2500 0.2500 Pd
0.5000 0.5000 0.5000 Th
0.7500 0.7500 0.7500 Tc

=====

Zr2Tl3AgTe6 PBE relaxed; energy = -4.36 eV/atom; size of the total moment = 0.00 μB/cell; space-group type = C2/m, No. 12
1.0
-5.9986 -4.1236 -1.4097
4.6054 -1.9034 5.4902
-3.8352 6.4633 3.8143
Zr Tl Ag Te
2 3 1 6
direct
0.3326 0.6674 0.0000 Zr
0.6674 0.3326 0.0000 Zr
0.1633 0.8367 0.5000 Tl
0.8367 0.1633 0.5000 Tl
0.5000 0.5000 0.5000 Tl
0.0000 0.0000 0.0000 Ag
0.9305 0.5838 0.7909 Te
0.7240 0.7240 0.2012 Te
0.0695 0.4162 0.2091 Te
0.5838 0.9305 0.7909 Te
0.2760 0.2760 0.7988 Te
0.4162 0.0695 0.2091 Te